{
  "formula": "Li3Sm2DyTe6",
  "functional": "GGA-PBE",
  "state": "optimized geometry",
  "crystal_system": "monoclinic",
  "formation_energy_uncorrected_ev_per_atom": -1.296,
  "total_magnetization_mub_per_cell": 0.0,
  "lattice": [[-1.763, -4.858, -5.582], [-2.718, -1.119, 7.017], [-4.199, 5.882, -2.064]],
  "species": ["Li", "Li", "Li", "Sm", "Sm", "Dy", "Te", "Te", "Te", "Te", "Te", "Te"],
  "fractional_positions": [[0.168, 0.832, 0.500], [0.832, 0.168, 0.500], [0.500, 0.500, 0.500], [0.333, 0.667, 0.000], [0.667, 0.333, 0.000], [0.000, 0.000, 0.000], [0.914, 0.585, 0.742], [0.758, 0.758, 0.258], [0.086, 0.415, 0.258], [0.585, 0.914, 0.742], [0.242, 0.242, 0.742], [0.415, 0.086, 0.258]]
}